w.
{
  "formula": "SrCoRe",
  "functional": "GGA-PBE",
  "state": "relaxed",
  "m_tot_mub_per_fu": 0.0,
  "spacegroup": "Pnma, No. 62",
  "lattice": [[7.467, 0.000, 0.000], [0.000, 4.103, 0.000], [0.000, 0.000, 8.602]],
  "species": ["Co", "Co", "Co", "Co", "Re", "Re", "Re", "Re", "Sr", "Sr", "Sr", "Sr"],
  "frac_coords": [[0.671, 0.250, 0.069], [0.329, 0.750, 0.931], [0.829, 0.750, 0.569], [0.171, 0.250, 0.431], [0.361, 0.250, 0.051], [0.861, 0.250, 0.449], [0.639, 0.750, 0.949], [0.139, 0.750, 0.551], [0.500, 0.750, 0.316], [0.000, 0.750, 0.184], [0.000, 0.250, 0.816], [0.500, 0.250, 0.684]]
}

x.
{
  "formula": "SrCoRe",
  "functional": "GGA-PBE",
  "state": "relaxed",
  "m_tot_mub_per_fu": 0.0,
  "spacegroup": "Pnma, No. 62",
  "lattice": [[-4.196, -3.295, 0.711], [2.103, -2.040, 2.954], [-3.976, 6.668, 7.436]],
  "species": ["Re", "Re", "Re", "Re", "Co", "Co", "Co", "Co", "Sr", "Sr", "Sr", "Sr"],
  "frac_coords": [[0.937, 0.750, 0.166], [0.563, 0.250, 0.666], [0.437, 0.750, 0.334], [0.063, 0.250, 0.834], [0.437, 0.250, 0.444], [0.563, 0.750, 0.556], [0.063, 0.750, 0.944], [0.937, 0.250, 0.056], [0.074, 0.750, 0.624], [0.426, 0.250, 0.124], [0.574, 0.750, 0.876], [0.926, 0.250, 0.376]]
}

y.
{
  "formula": "SrCoRe",
  "functional": "GGA-PBE",
  "state": "relaxed",
  "m_tot_mub_per_fu": 0.0,
  "spacegroup": "P6_3/mmc, No. 194",
  "lattice": [[-3.023, 2.391, 0.850], [-0.017, -3.734, 1.278], [4.642, 2.868, 8.441]],
  "species": ["Co", "Co", "Sr", "Sr", "Re", "Re"],
  "frac_coords": [[0.333, 0.667, 0.750], [0.667, 0.333, 0.250], [0.000, 0.000, 0.000], [0.000, 0.000, 0.500], [0.333, 0.667, 0.250], [0.667, 0.333, 0.750]]
}

z.
{
  "formula": "SrCoRe",
  "functional": "GGA-PBE",
  "state": "relaxed",
  "m_tot_mub_per_fu": 0.0,
  "spacegroup": "P-6m2, No. 187",
  "lattice": [[-2.670, -2.843, 0.613], [2.536, 0.977, 2.863], [-3.247, 3.418, 1.710]],
  "species": ["Re", "Sr", "Co"],
  "frac_coords": [[0.667, 0.333, 0.167], [0.333, 0.667, 0.667], [0.000, 0.000, 0.167]]
}

It is z that is the most stable of them.

w.
{
  "formula": "SrCoRe",
  "functional": "GGA-PBE",
  "state": "relaxed",
  "m_tot_mub_per_fu": 1.0,
  "spacegroup": "P2_1/m, No. 11",
  "lattice": [[-2.968, -2.994, 0.162], [3.621, -3.628, -0.710], [-0.132, 0.440, 5.706]],
  "species": ["Co", "Co", "Re", "Re", "Sr", "Sr"],
  "frac_coords": [[0.759, 0.809, 0.380], [0.259, 0.978, 0.247], [0.259, 0.534, 0.342], [0.759, 0.253, 0.285], [0.259, 0.138, 0.753], [0.759, 0.648, 0.873]]
}

x.
{
  "formula": "SrCoRe",
  "functional": "GGA-PBE",
  "state": "relaxed",
  "m_tot_mub_per_fu": 1.1,
  "spacegroup": "Cm, No. 8",
  "lattice": [[-1.500, 1.046, 3.826], [-4.462, -2.225, -1.142], [2.452, -5.545, 0.127]],
  "species": ["Co", "Co", "Sr", "Sr", "Re", "Re"],
  "frac_coords": [[0.452, 0.881, 0.239], [0.988, 0.654, 0.312], [0.710, 0.892, 0.756], [0.266, 0.389, 0.867], [0.991, 0.137, 0.318], [0.527, 0.406, 0.389]]
}

y.
{
  "formula": "SrCoRe",
  "functional": "GGA-PBE",
  "state": "relaxed",
  "m_tot_mub_per_fu": 0.0,
  "spacegroup": "C2/m, No. 12",
  "lattice": [[-0.281, -0.838, -4.100], [4.142, -0.249, -0.616], [-0.397, -8.043, 1.862]],
  "species": ["Sr", "Sr", "Co", "Co", "Re", "Re"],
  "frac_coords": [[0.553, 0.977, 0.630], [0.052, 0.476, 0.997], [0.585, 0.010, 0.174], [0.019, 0.444, 0.452], [0.077, 0.952, 0.313], [0.528, 0.501, 0.313]]
}

It is y that is the most stable of them.

w.
{
  "formula": "SrCo2Re",
  "functional": "GGA-PBE",
  "state": "relaxed",
  "m_tot_mub_per_fu": 2.3,
  "spacegroup": "Imm2, No. 44",
  "lattice": [[5.710, -0.045, 0.022], [3.121, 4.782, -0.022], [-3.772, -3.567, 2.377]],
  "species": ["Re", "Sr", "Co", "Co"],
  "frac_coords": [[0.537, 0.537, 0.000], [0.246, 0.746, 0.500], [0.754, 0.254, 0.500], [0.963, 0.963, 0.000]]
}

x.
{
  "formula": "SrCo2Re",
  "functional": "GGA-PBE",
  "state": "relaxed",
  "m_tot_mub_per_fu": 0.9,
  "spacegroup": "F-43m, No. 216",
  "lattice": [[-0.421, 0.683, -4.404], [2.844, -1.956, -2.850], [-1.417, -3.315, -2.653]],
  "species": ["Co", "Co", "Re", "Sr"],
  "frac_coords": [[0.250, 0.250, 0.250], [0.000, 0.000, 0.000], [0.500, 0.500, 0.500], [0.750, 0.750, 0.750]]
}

y.
{
  "formula": "SrCo2Re",
  "functional": "GGA-PBE",
  "state": "relaxed",
  "m_tot_mub_per_fu": 0.1,
  "spacegroup": "Pmmm, No. 47",
  "lattice": [[3.265, 0.000, 0.000], [0.000, 2.852, 0.016], [0.000, 2.806, 7.241]],
  "species": ["Co", "Co", "Sr", "Re"],
  "frac_coords": [[0.000, 0.574, 0.427], [0.000, 0.926, 0.073], [0.500, 0.750, 0.750], [0.500, 0.250, 0.250]]
}

z.
{
  "formula": "SrCo2Re",
  "functional": "GGA-PBE",
  "state": "relaxed",
  "m_tot_mub_per_fu": 0.3,
  "spacegroup": "Immm, No. 71",
  "lattice": [[4.850, -0.177, -0.109], [0.724, 4.799, 0.109], [-2.107, -3.131, 3.053]],
  "species": ["Co", "Co", "Sr", "Re"],
  "frac_coords": [[0.944, 0.944, 0.000], [0.556, 0.556, 0.000], [0.250, 0.750, 0.500], [0.750, 0.250, 0.500]]
}

It is y that is the most stable of them.

w.
{
  "formula": "TaCo2Re",
  "functional": "GGA-PBE",
  "state": "relaxed",
  "m_tot_mub_per_fu": 0.0,
  "spacegroup": "C2/m, No. 12",
  "lattice": [[-2.315, 1.672, 3.561], [-2.779, -1.777, -4.998], [-1.414, -2.283, 0.158]],
  "species": ["Re", "Co", "Co", "Ta"],
  "frac_coords": [[0.500, 0.500, 0.000], [0.000, 0.000, 0.000], [0.000, 0.500, 0.500], [0.500, 0.000, 0.500]]
}

x.
{
  "formula": "TaCo2Re",
  "functional": "GGA-PBE",
  "state": "relaxed",
  "m_tot_mub_per_fu": 1.4,
  "spacegroup": "P4mm, No. 99",
  "lattice": [[-1.727, -2.087, 0.199], [0.780, -0.881, -2.448], [5.275, -4.067, 3.144]],
  "species": ["Re", "Ta", "Co", "Co"],
  "frac_coords": [[0.000, 0.000, 0.464], [0.500, 0.500, 0.772], [0.000, 0.000, 0.026], [0.500, 0.500, 0.237]]
}

It is w that is the most stable of them.

w.
{
  "formula": "TaCo2Re",
  "functional": "GGA-PBE",
  "state": "relaxed",
  "m_tot_mub_per_fu": 0.0,
  "spacegroup": "Pmm2, No. 25",
  "lattice": [[-3.374, 1.882, 1.863], [-1.438, -0.339, -2.262], [-1.435, -4.083, 1.526]],
  "species": ["Re", "Co", "Co", "Ta"],
  "frac_coords": [[0.000, 0.625, 0.431], [0.000, 0.125, 0.955], [0.500, 0.125, 0.302], [0.500, 0.625, 0.812]]
}

x.
{
  "formula": "TaCo2Re",
  "functional": "GGA-PBE",
  "state": "relaxed",
  "m_tot_mub_per_fu": 0.0,
  "spacegroup": "Cm, No. 8",
  "lattice": [[-1.212, 3.540, 2.618], [-2.114, 1.289, 3.837], [3.605, 0.128, 2.904]],
  "species": ["Co", "Co", "Re", "Ta"],
  "frac_coords": [[0.007, 0.007, 0.006], [0.747, 0.747, 0.730], [0.491, 0.491, 0.546], [0.255, 0.255, 0.218]]
}

y.
{
  "formula": "TaCo2Re",
  "functional": "GGA-PBE",
  "state": "relaxed",
  "m_tot_mub_per_fu": 3.5,
  "spacegroup": "Fm-3m, No. 225",
  "lattice": [[-1.077, -1.840, 3.696], [-4.061, -1.080, 0.742], [-1.132, -4.113, 0.085]],
  "species": ["Ta", "Co", "Co", "Re"],
  "frac_coords": [[0.000, 0.000, 0.000], [0.750, 0.750, 0.750], [0.250, 0.250, 0.250], [0.500, 0.500, 0.500]]
}

It is w that is the most stable of them.

w.
{
  "formula": "TaCo2Re",
  "functional": "GGA-PBE",
  "state": "relaxed",
  "m_tot_mub_per_fu": 1.6,
  "spacegroup": "F-43m, No. 216",
  "lattice": [[4.273, 0.000, 0.000], [2.136, 3.700, 0.000], [2.136, 1.233, 3.489]],
  "species": ["Co", "Co", "Re", "Ta"],
  "frac_coords": [[0.750, 0.750, 0.750], [0.000, 0.000, 0.000], [0.500, 0.500, 0.500], [0.250, 0.250, 0.250]]
}

x.
{
  "formula": "TaCo2Re",
  "functional": "GGA-PBE",
  "state": "relaxed",
  "m_tot_mub_per_fu": 0.0,
  "spacegroup": "I-4m2, No. 119",
  "lattice": [[-4.419, -1.463, 0.417], [-0.903, -1.365, 4.378], [1.903, 3.877, -1.785]],
  "species": ["Co", "Co", "Ta", "Re"],
  "frac_coords": [[0.000, 0.000, 0.000], [0.250, 0.750, 0.500], [0.750, 0.250, 0.500], [0.500, 0.500, 0.000]]
}

It is x that is the most stable of them.

w.
{
  "formula": "TaCo2Re",
  "functional": "GGA-PBE",
  "state": "relaxed",
  "m_tot_mub_per_fu": 0.3,
  "spacegroup": "P4/mmm, No. 123",
  "lattice": [[3.187, 0.000, 0.000], [0.000, 3.187, 0.000], [0.000, 0.000, 5.324]],
  "species": ["Co", "Co", "Ta", "Re"],
  "frac_coords": [[0.000, 0.000, 0.010], [0.000, 0.000, 0.490], [0.500, 0.500, 0.750], [0.500, 0.500, 0.250]]
}

x.
{
  "formula": "TaCo2Re",
  "functional": "GGA-PBE",
  "state": "relaxed",
  "m_tot_mub_per_fu": 0.0,
  "spacegroup": "I4/mmm, No. 139",
  "lattice": [[4.575, -0.013, -0.022], [1.440, 4.342, 0.022], [-2.994, -2.183, 2.683]],
  "species": ["Ta", "Re", "Co", "Co"],
  "frac_coords": [[0.750, 0.250, 0.500], [0.250, 0.750, 0.500], [0.000, 0.000, 0.000], [0.500, 0.500, 0.000]]
}

It is x that is the most stable of them.

w.
{
  "formula": "TaCo2Re",
  "functional": "GGA-PBE",
  "state": "relaxed",
  "m_tot_mub_per_fu": 0.0,
  "spacegroup": "I-42d, No. 122",
  "lattice": [[6.621, 0.000, 0.000], [0.000, 6.621, 0.000], [3.311, 3.311, 2.627]],
  "species": ["Co", "Co", "Co", "Co", "Re", "Re", "Ta", "Ta"],
  "frac_coords": [[0.875, 0.887, 0.750], [0.637, 0.125, 0.250], [0.113, 0.625, 0.250], [0.375, 0.363, 0.750], [0.000, 0.000, 0.000], [0.750, 0.250, 0.500], [0.500, 0.500, 0.000], [0.250, 0.750, 0.500]]
}

x.
{
  "formula": "TaCo2Re",
  "functional": "GGA-PBE",
  "state": "relaxed",
  "m_tot_mub_per_fu": 0.0,
  "spacegroup": "P4/mmm, No. 123",
  "lattice": [[-1.027, -2.144, 1.242], [-0.898, -0.930, -2.350], [6.390, -3.641, -1.002]],
  "species": ["Co", "Co", "Ta", "Re"],
  "frac_coords": [[0.000, 0.000, 0.013], [0.000, 0.000, 0.487], [0.500, 0.500, 0.750], [0.500, 0.500, 0.250]]
}

y.
{
  "formula": "TaCo2Re",
  "functional": "GGA-PBE",
  "state": "relaxed",
  "m_tot_mub_per_fu": 0.6,
  "spacegroup": "R3m, No. 160",
  "lattice": [[-5.017, 1.896, 7.030], [-2.854, 0.858, 8.325], [-2.876, 3.485, 7.600]],
  "species": ["Re", "Ta", "Co", "Co"],
  "frac_coords": [[0.508, 0.508, 0.508], [0.745, 0.745, 0.745], [0.252, 0.252, 0.252], [0.995, 0.995, 0.995]]
}

It is x that is the most stable of them.